DFT (GGA+U) results for a relaxed structure of Dy2CdWO8.

## Properties
As for the total DFT energy (no corrections): -6.932 eV per atom.

a = 4.9990 Å, b = 4.9990 Å, c = 7.0199 Å
α = 90.14°, β = 90.14°, γ = 87.90°
Atoms (fractional coordinates):
Dy: 0.0015 0.0015 0.2510
Dy: 0.9985 0.9985 0.7490
Cd: 0.5000 0.5000 0.5000
W: 0.5000 0.5000 0.0000
O: 0.1957 0.8043 0.5000
O: 0.2185 0.7815 0.0000
O: 0.3116 0.3116 0.8006
O: 0.3149 0.3149 0.2022
O: 0.6851 0.6851 0.7978
O: 0.6884 0.6884 0.1994
O: 0.7815 0.2185 0.0000
O: 0.8043 0.1957 0.5000